Below is a relaxed Er3PaAs4 crystal, with properties calculated at the PBE level.

Computed properties:
**Offset from the most stable computed form**: 0.004 eV/atom

```
data_Er3PaAs4
_symmetry_space_group_name_H-M 'C m m m'
_symmetry_Int_Tables_number 65
_symmetry_space_group_name_Hall '-C 2 2'
_cell_length_a 8.150
_cell_length_b 11.529
_cell_length_c 4.088
_cell_angle_alpha 90.00
_cell_angle_beta 90.00
_cell_angle_gamma 90.00
loop_
_atom_site_label
_atom_site_fract_x
_atom_site_fract_y
_atom_site_fract_z
Er1 0.000 0.000 0.000
Er2 0.250 0.250 0.500
Pa1 0.000 0.500 0.000
As1 0.000 0.251 0.000
As2 0.250 0.000 0.500
```